Material: BaSr2Pu
Method: DFT, GGA-PBE
State: relaxed

The formation energy comes out at 1.8 eV/f.u. Its crystal system is trigonal.

Lattice parameters (Å, degrees): 3.9351 3.9351 14.5915 82.25 82.25 60.00
Last column: nearest neighbours and their distance in Å.
Positions (direct):
Sr  0.0828  0.0828  0.7516  1 Pu 3.58, 6 Sr 3.94
Sr  0.9172  0.9172  0.2484  1 Pu 3.58, 6 Sr 3.94
Ba  0.5000  0.5000  0.5000  6 Ba 3.94, 6 Sr 4.28
Pu  0.0000  0.0000  0.0000  2 Sr 3.58, 6 Pu 3.94